[1]
The following is a PBE-GGA calculation of a relaxed structure of HoTm2Ag6, from the Alexandria database.

a b c (Å): 13.9602 10.7610 5.2715
angles (deg): 90.00 100.52 90.00
Space group C2/c (No. 15)
Asymmetric unit:
1 Ho 0.0000 0.1253 0.2500
2 Tm 0.1667 0.3752 0.0841
3 Ag 0.0555 0.3763 0.5272
4 Ag 0.1118 0.1265 0.8070
5 Ag 0.2234 0.1252 0.3592


[2]
The following is a PBE-GGA calculation of a relaxed structure of Ho4Tm3Ag, from the Alexandria database.

a b c (Å): 3.5087 3.5087 18.7915
angles (deg): 90.00 90.00 90.00
Space group P4/mmm (No. 123)
Asymmetric unit:
1 Ho 0.0000 0.0000 0.1025
2 Ho 0.0000 0.0000 0.3678
3 Tm 0.5000 0.5000 0.2367
4 Tm 0.5000 0.5000 0.5000
5 Ag 0.5000 0.5000 0.0000


[3]
The following is a PBE-GGA calculation of a relaxed structure of HoTmAg, from the Alexandria database.

a b c (Å): 8.7733 5.0599 7.8416
angles (deg): 90.00 112.05 90.00
Space group Cm (No. 8)
Asymmetric unit:
1 Ho 0.0000 0.0000 0.0000
2 Ho 0.1652 0.0000 0.4941
3 Tm 0.0814 0.5000 0.7445
4 Tm 0.2460 0.5000 0.2370
5 Ag 0.3041 0.0000 0.9126
6 Ag 0.4418 0.0000 0.3244


no.,energy relative to the elements (kJ/mol of formula units)
1,-192
2,-40
3,-19